[1]
VASP calculation (PBE-GGA) on crystalline NbTlReO6 at its relaxed geometry.

- DOS(E_F) (states/eV/atom) = 0.215
- energy relative to the elements, uncorrected (eV per atom) = -1.805
- calculated total energy (eV/atom) = -7.87
- calculated density (kg/m3) = 6719

Cell and atoms, written as CIF:
```
data_NbTlReO6
_chemical_formula_sum 'Nb4 Tl4 Re4 O24'
_space_group_name_H-M_alt 'I m m a'
_space_group_IT_number 74
_space_group_name_Hall '-I 2b 2'
_cell_length_a 7.327
_cell_length_b 7.459
_cell_length_c 10.482
_cell_angle_alpha 90.00
_cell_angle_beta 90.00
_cell_angle_gamma 90.00
loop_
_atom_site_label
_atom_site_type_symbol
_atom_site_fract_x
_atom_site_fract_y
_atom_site_fract_z
Nb1 Nb 0.000 0.000 0.000
Tl1 Tl 0.000 0.250 0.371
Re1 Re 0.250 0.250 0.750
O1 O 0.000 0.250 0.066
O2 O 0.000 0.250 0.699
O3 O 0.196 0.069 0.874
```

=====

[2]
VASP calculation (PBE-GGA) on crystalline PRhC2 at its relaxed geometry.

- calculated formation energy (eV/atom) = 0.653
- DOS(E_F) (states/eV/atom) = 0.643
- calculated total energy (eV/atom) = -7.15
- calculated density (kg/m3) = 4954

Cell and atoms, written as CIF:
```
data_PRhC2
_chemical_formula_sum 'P1 Rh1 C2'
_space_group_name_H-M_alt 'P 1 m 1'
_space_group_IT_number 6
_cell_length_a 3.198
_cell_length_b 2.997
_cell_length_c 5.752
_cell_angle_alpha 90.00
_cell_angle_beta 106.27
_cell_angle_gamma 90.00
loop_
_space_group_symop_operation_xyz
'x,y,z'
'x,-y,z'
loop_
_atom_site_label
_atom_site_type_symbol
_atom_site_fract_x
_atom_site_fract_y
_atom_site_fract_z
P1 P 0.000 0.000 0.000
Rh1 Rh 0.598 0.500 0.195
C1 C 0.733 0.000 0.469
C2 C 0.849 0.000 0.697
```

=====

[3]
VASP calculation (PBE-GGA) on crystalline LaEuYHg at its relaxed geometry.

- calculated formation energy (eV/atom) = -0.080
- DOS(E_F) (states/eV/atom) = 1.461
- calculated total energy (eV/atom) = -5.57
- calculated density (kg/m3) = 7844

Cell and atoms, written as CIF:
```
data_LaEuYHg
_chemical_formula_sum 'La4 Eu4 Y4 Hg4'
_space_group_name_H-M_alt 'F -4 3 m'
_space_group_IT_number 216
_space_group_name_Hall 'F -4 2 3'
_cell_length_a 7.891
_cell_length_b 7.891
_cell_length_c 7.891
_cell_angle_alpha 90.00
_cell_angle_beta 90.00
_cell_angle_gamma 90.00
loop_
_atom_site_label
_atom_site_type_symbol
_atom_site_fract_x
_atom_site_fract_y
_atom_site_fract_z
La1 La 0.000 0.000 0.000
Eu1 Eu 0.250 0.250 0.250
Y1 Y 0.000 0.000 0.500
Hg1 Hg 0.250 0.250 0.750
```